1.
Below is a geometry-optimized Tl6GeCl8 structure, with properties calculated at the PBE level.

Values from the calculation:
As for the crystal system: trigonal. The raw formation energy is -0.962 eV/atom. The value obtained for the energy is -3.201 eV/atom. Its symmetry is R-3 (148).

Geometry as POSCAR:
```
Tl6GeCl8
1.0
4.767 2.752 6.231
-4.767 2.752 6.231
0.000 -5.504 6.231
Tl Ge Cl
6 1 8
Cartesian
-2.015 -3.105 7.855 Tl
-3.697 0.193 10.838 Tl
-1.681 3.298 7.855 Tl
1.681 -3.298 10.838 Tl
3.697 -0.193 7.855 Tl
2.015 3.105 10.838 Tl
0.000 0.000 9.347 Ge
0.000 0.000 3.187 Cl
-2.235 0.033 7.827 Cl
-1.146 -1.919 10.866 Cl
1.089 -1.952 7.827 Cl
-1.089 1.952 10.866 Cl
1.146 1.919 7.827 Cl
2.235 -0.033 10.866 Cl
0.000 0.000 15.506 Cl
```

***

2.
Below is a geometry-optimized Tl3Ge2Cl7 structure, with properties calculated at the PBE level.

Values from the calculation:
As for the crystal system: orthorhombic. The raw formation energy is -0.880 eV/atom. The value obtained for the energy is -3.318 eV/atom. Its symmetry is Cmmm (65).

Geometry as POSCAR:
```
Tl3Ge2Cl7
1.0
2.648 -13.213 0.000
2.648 13.213 0.000
0.000 0.000 5.214
Tl Ge Cl
3 2 7
Cartesian
0.000 0.000 0.000 Tl
2.648 8.410 0.000 Tl
2.648 -8.410 0.000 Tl
2.648 2.802 2.607 Ge
2.648 -2.802 2.607 Ge
2.648 10.486 2.607 Cl
2.648 5.290 2.607 Cl
2.648 2.757 0.000 Cl
2.648 0.000 2.607 Cl
2.648 -2.757 0.000 Cl
2.648 -5.290 2.607 Cl
2.648 -10.486 2.607 Cl
```

***

3.
Below is a geometry-optimized TlGe2Cl6 structure, with properties calculated at the PBE level.

Values from the calculation:
As for the crystal system: monoclinic. The raw formation energy is -0.815 eV/atom. The value obtained for the energy is -3.336 eV/atom. Its symmetry is C2/c (15).

Geometry as POSCAR:
```
TlGe2Cl6
1.0
7.888 -4.957 0.000
7.888 4.957 0.000
-5.025 0.000 8.249
Tl Ge Cl
2 4 12
Cartesian
4.119 4.142 6.186 Tl
6.631 -4.142 2.062 Tl
0.477 0.593 6.410 Ge
2.989 -0.593 2.285 Ge
7.761 0.593 5.963 Ge
10.274 -0.593 1.839 Ge
4.256 3.562 2.910 Cl
1.360 2.590 7.096 Cl
9.006 3.562 1.215 Cl
1.973 0.129 4.442 Cl
4.485 -0.129 0.318 Cl
6.878 2.590 5.277 Cl
3.872 -2.590 2.971 Cl
6.265 0.129 7.931 Cl
8.777 -0.129 3.807 Cl
1.744 -3.562 7.034 Cl
9.391 -2.590 1.153 Cl
6.494 -3.562 5.339 Cl
```

***

4.
Below is a geometry-optimized Tl2Ge2Cl5 structure, with properties calculated at the PBE level.

Values from the calculation:
As for the crystal system: monoclinic. The raw formation energy is -0.669 eV/atom. The value obtained for the energy is -3.247 eV/atom. Its symmetry is C2/m (12).

Geometry as POSCAR:
```
Tl2Ge2Cl5
1.0
8.477 -2.811 0.000
8.477 2.811 0.000
-1.885 0.000 6.373
Tl Ge Cl
2 2 5
Cartesian
-0.176 0.000 1.686 Tl
15.245 0.000 4.686 Tl
5.640 0.000 0.113 Ge
9.430 0.000 6.260 Ge
2.932 0.000 0.077 Cl
5.728 0.000 2.398 Cl
8.477 0.000 0.000 Cl
9.341 0.000 3.975 Cl
12.138 0.000 6.295 Cl
```

***

5.
Below is a geometry-optimized Tl2GeCl5 structure, with properties calculated at the PBE level.

Values from the calculation:
As for the crystal system: tetragonal. The raw formation energy is -0.857 eV/atom. The value obtained for the energy is -3.180 eV/atom. Its symmetry is I4mm (107).

Geometry as POSCAR:
```
Tl2GeCl5
1.0
7.458 0.000 0.000
0.000 7.458 0.000
0.000 0.000 9.302
Tl Ge Cl
4 2 10
Cartesian
0.000 3.729 0.000 Tl
0.000 3.729 4.651 Tl
3.729 0.000 0.000 Tl
3.729 0.000 4.651 Tl
0.000 0.000 2.241 Ge
3.729 3.729 6.892 Ge
0.000 0.000 4.480 Cl
1.730 1.730 1.943 Cl
1.730 5.729 1.943 Cl
1.999 1.999 6.594 Cl
1.999 5.459 6.594 Cl
3.729 3.729 9.131 Cl
5.459 1.999 6.594 Cl
5.459 5.459 6.594 Cl
5.729 1.730 1.943 Cl
5.729 5.729 1.943 Cl
```

***

6.
Below is a geometry-optimized TlVGe2Cl8 structure, with properties calculated at the PBE level.

Values from the calculation:
As for the crystal system: triclinic. The raw formation energy is -0.958 eV/atom. The value obtained for the energy is -3.916 eV/atom. Its symmetry is P-1 (2).

Geometry as POSCAR:
```
TlVGe2Cl8
1.0
6.232 0.000 0.000
-2.783 6.734 0.000
-0.306 -0.528 8.420
Tl V Ge Cl
1 1 2 8
Cartesian
0.000 0.000 0.000 Tl
-0.153 -0.264 4.210 V
-0.112 4.158 5.613 Ge
3.256 2.049 2.807 Ge
-1.941 4.948 2.758 Cl
0.722 1.590 2.878 Cl
1.798 -0.224 5.638 Cl
-0.118 4.095 7.878 Cl
3.262 2.111 0.542 Cl
1.346 6.430 2.782 Cl
2.422 4.616 5.542 Cl
5.085 1.258 5.662 Cl
```

***

7.
Below is a geometry-optimized TlGeW2Cl structure, with properties calculated at the PBE level.

Values from the calculation:
As for the crystal system: tetragonal. The raw formation energy is 1.699 eV/atom. The value obtained for the energy is -5.248 eV/atom. Its symmetry is P4/mmm (123).

Geometry as POSCAR:
```
TlGeW2Cl
1.0
4.803 0.000 0.000
0.000 4.803 0.000
0.000 0.000 6.516
Tl Ge W Cl
1 1 2 1
Cartesian
0.000 0.000 0.000 Tl
0.000 0.000 3.258 Ge
0.000 2.401 3.258 W
2.401 0.000 3.258 W
2.401 2.401 0.000 Cl
```

***

8.
Below is a geometry-optimized YTlGeCl6 structure, with properties calculated at the PBE level.

Values from the calculation:
As for the crystal system: trigonal. The raw formation energy is -1.528 eV/atom. The value obtained for the energy is -4.254 eV/atom. Its symmetry is P312 (149).

Geometry as POSCAR:
```
YTlGeCl6
1.0
6.998 0.000 0.000
-3.499 6.061 0.000
0.000 0.000 6.998
Y Tl Ge Cl
1 1 1 6
Cartesian
0.000 0.000 0.000 Y
0.000 4.040 3.499 Tl
3.499 2.020 0.000 Ge
2.186 0.215 1.506 Cl
1.279 1.786 5.492 Cl
4.812 0.215 5.492 Cl
2.592 4.060 1.506 Cl
5.719 1.786 1.506 Cl
4.406 4.060 5.492 Cl
```

***

9.
Below is a geometry-optimized Tl2ZnGeCl6 structure, with properties calculated at the PBE level.

Values from the calculation:
As for the crystal system: trigonal. The raw formation energy is -0.987 eV/atom. The value obtained for the energy is -3.158 eV/atom. Its symmetry is R3 (146).

Geometry as POSCAR:
```
Tl2ZnGeCl6
1.0
3.706 2.139 7.362
-3.706 2.139 7.362
0.000 -4.279 7.362
Tl Zn Ge Cl
2 1 1 6
Cartesian
0.000 0.000 0.000 Tl
0.000 0.000 10.821 Tl
0.000 0.000 5.212 Zn
0.000 0.000 17.310 Ge
-2.398 -0.548 8.728 Cl
-1.346 -2.536 12.475 Cl
1.674 -1.803 8.728 Cl
-1.523 2.434 12.475 Cl
0.725 2.351 8.728 Cl
2.869 0.102 12.475 Cl
```

***

10.
Below is a geometry-optimized TmGeCl5 structure, with properties calculated at the PBE level.

Values from the calculation:
As for the crystal system: monoclinic. The raw formation energy is -1.582 eV/atom. The value obtained for the energy is -4.200 eV/atom. Its symmetry is C2/c (15).

Geometry as POSCAR:
```
TmGeCl5
1.0
5.051 -4.836 0.000
5.051 4.836 0.000
-4.516 0.000 9.061
Tm Ge Cl
2 2 10
Cartesian
2.526 2.418 0.000 Tm
0.267 -2.418 4.530 Tm
1.664 4.039 6.795 Ge
3.922 -4.039 2.265 Ge
0.233 2.240 7.670 Cl
0.114 0.155 4.552 Cl
3.922 2.438 2.265 Cl
2.372 -0.155 0.022 Cl
3.095 2.240 5.921 Cl
2.491 -2.240 3.139 Cl
3.213 0.155 9.039 Cl
1.664 -2.438 6.795 Cl
5.472 -0.155 4.509 Cl
5.353 -2.240 1.391 Cl
```

***

11.
Below is a geometry-optimized VGeCl5 structure, with properties calculated at the PBE level.

Values from the calculation:
As for the crystal system: monoclinic. The raw formation energy is -0.953 eV/atom. The value obtained for the energy is -4.234 eV/atom. Its symmetry is C2/c (15).

Geometry as POSCAR:
```
VGeCl5
1.0
4.663 -4.838 0.000
4.663 4.838 0.000
-4.376 0.000 8.346
V Ge Cl
2 2 10
Cartesian
2.332 2.419 0.000 V
0.144 -2.419 4.173 V
1.381 4.125 6.259 Ge
3.569 -4.125 2.086 Ge
0.014 2.260 7.129 Cl
3.569 2.626 2.086 Cl
2.270 0.070 0.156 Cl
0.082 -0.070 4.329 Cl
2.749 2.260 5.390 Cl
2.202 -2.260 2.956 Cl
4.869 0.070 4.017 Cl
2.681 -0.070 8.190 Cl
1.381 -2.626 6.259 Cl
4.936 -2.260 1.217 Cl
```

***

12.
Below is a geometry-optimized VGeCl4 structure, with properties calculated at the PBE level.

Values from the calculation:
As for the crystal system: monoclinic. The raw formation energy is -0.937 eV/atom. The value obtained for the energy is -4.458 eV/atom. Its symmetry is C2/m (12).

Geometry as POSCAR:
```
VGeCl4
1.0
14.226 0.000 0.000
0.000 3.769 0.000
-2.909 0.000 5.940
V Ge Cl
2 2 8
Cartesian
0.000 0.000 0.000 V
7.113 1.884 0.000 V
-1.454 1.884 2.970 Ge
5.659 0.000 2.970 Ge
-1.265 1.884 5.659 Cl
0.386 0.000 2.466 Cl
3.818 1.884 3.474 Cl
5.469 0.000 0.281 Cl
5.848 0.000 5.659 Cl
7.499 1.884 2.466 Cl
10.931 0.000 3.474 Cl
12.583 1.884 0.281 Cl
```

***

13.
Below is a geometry-optimized VGeCl3 structure, with properties calculated at the PBE level.

Values from the calculation:
As for the crystal system: cubic. The raw formation energy is 0.016 eV/atom. The value obtained for the energy is -3.839 eV/atom. Its symmetry is Pm-3m (221).

Geometry as POSCAR:
```
VGeCl3
1.0
5.149 0.000 0.000
0.000 5.149 0.000
0.000 0.000 5.149
V Ge Cl
1 1 3
Cartesian
0.000 0.000 0.000 V
2.574 2.574 2.574 Ge
0.000 2.574 2.574 Cl
2.574 0.000 2.574 Cl
2.574 2.574 0.000 Cl
```

***

14.
Below is a geometry-optimized VGe3Cl9 structure, with properties calculated at the PBE level.

Values from the calculation:
As for the crystal system: monoclinic. The raw formation energy is -0.897 eV/atom. The value obtained for the energy is -3.942 eV/atom. Its symmetry is Cc (9).

Geometry as POSCAR:
```
VGe3Cl9
1.0
10.881 -3.744 0.000
10.881 3.744 0.000
-5.409 0.000 9.908
V Ge Cl
2 6 18
Cartesian
8.176 1.912 4.954 V
10.881 -1.912 0.000 V
8.207 3.029 1.537 Ge
2.600 0.899 2.442 Ge
-0.104 -0.899 7.396 Ge
12.708 0.921 4.218 Ge
10.004 -0.921 9.172 Ge
5.503 -3.029 6.491 Ge
0.858 1.666 8.112 Cl
-1.335 0.165 5.620 Cl
4.661 1.142 1.248 Cl
1.370 -0.165 0.666 Cl
6.732 2.421 6.871 Cl
9.628 1.677 3.046 Cl
1.956 -1.142 6.202 Cl
7.001 0.094 4.469 Cl
4.296 -0.094 9.423 Cl
3.563 -1.666 3.158 Cl
9.750 0.721 6.371 Cl
16.799 0.720 0.154 Cl
12.455 -0.721 1.417 Cl
6.924 -1.677 7.999 Cl
9.436 -2.421 1.917 Cl
15.072 0.334 8.486 Cl
14.095 -0.720 5.108 Cl
17.777 -0.334 3.532 Cl
```

***

15.
Below is a geometry-optimized VGe2Cl structure, with properties calculated at the PBE level.

Values from the calculation:
As for the crystal system: cubic. The raw formation energy is 0.623 eV/atom. The value obtained for the energy is -4.427 eV/atom. Its symmetry is Fm-3m (225).

Geometry as POSCAR:
```
VGe2Cl
1.0
6.713 0.000 0.000
0.000 6.713 0.000
0.000 0.000 6.713
V Ge Cl
4 8 4
Cartesian
0.000 0.000 0.000 V
0.000 3.356 3.356 V
3.356 0.000 3.356 V
3.356 3.356 0.000 V
1.678 1.678 1.678 Ge
1.678 1.678 5.035 Ge
1.678 5.035 1.678 Ge
1.678 5.035 5.035 Ge
5.035 1.678 1.678 Ge
5.035 1.678 5.035 Ge
5.035 5.035 1.678 Ge
5.035 5.035 5.035 Ge
0.000 0.000 3.356 Cl
0.000 3.356 0.000 Cl
3.356 0.000 0.000 Cl
3.356 3.356 3.356 Cl
```

***

16.
Below is a geometry-optimized VGeCl3 structure, with properties calculated at the PBE level.

Values from the calculation:
As for the crystal system: cubic. The raw formation energy is -0.388 eV/atom. The value obtained for the energy is -4.243 eV/atom. Its symmetry is Pm-3m (221).

Geometry as POSCAR:
```
VGeCl3
1.0
4.870 0.000 0.000
0.000 4.870 0.000
0.000 0.000 4.870
V Ge Cl
1 1 3
Cartesian
0.000 0.000 0.000 V
2.435 2.435 2.435 Ge
0.000 0.000 2.435 Cl
0.000 2.435 0.000 Cl
2.435 0.000 0.000 Cl
```

***

17.
Below is a geometry-optimized VGe2Cl structure, with properties calculated at the PBE level.

Values from the calculation:
As for the crystal system: tetragonal. The raw formation energy is 0.601 eV/atom. The value obtained for the energy is -4.449 eV/atom. Its symmetry is I-42d (122).

Geometry as POSCAR:
```
VGe2Cl
1.0
5.777 0.000 0.000
0.000 5.777 0.000
0.000 0.000 12.732
V Ge Cl
4 8 4
Cartesian
0.000 0.000 0.000 V
0.000 2.889 3.183 V
2.889 0.000 9.549 V
2.889 2.889 6.366 V
1.117 1.444 1.591 Ge
1.444 4.005 4.774 Ge
1.444 4.661 11.140 Ge
1.772 1.444 7.957 Ge
4.005 4.333 7.957 Ge
4.333 1.117 11.140 Ge
4.333 1.772 4.774 Ge
4.661 4.333 1.591 Ge
0.000 0.000 6.366 Cl
0.000 2.889 9.549 Cl
2.889 0.000 3.183 Cl
2.889 2.889 0.000 Cl
```

***

18.
Below is a geometry-optimized V3GeCl structure, with properties calculated at the PBE level.

Values from the calculation:
As for the crystal system: cubic. The raw formation energy is 0.458 eV/atom. The value obtained for the energy is -6.306 eV/atom. Its symmetry is Pm-3m (221).

Geometry as POSCAR:
```
V3GeCl
1.0
4.235 0.000 0.000
0.000 4.235 0.000
0.000 0.000 4.235
V Ge Cl
3 1 1
Cartesian
0.000 0.000 2.117 V
0.000 2.117 0.000 V
2.117 0.000 0.000 V
2.117 2.117 2.117 Ge
0.000 0.000 0.000 Cl
```

***

19.
Below is a geometry-optimized Ge3WCl structure, with properties calculated at the PBE level.

Values from the calculation:
As for the crystal system: cubic. The raw formation energy is 0.218 eV/atom. The value obtained for the energy is -5.512 eV/atom. Its symmetry is Pm-3m (221).

Geometry as POSCAR:
```
Ge3WCl
1.0
4.931 0.000 0.000
0.000 4.931 0.000
0.000 0.000 4.931
Ge W Cl
3 1 1
Cartesian
0.000 0.000 2.466 Ge
0.000 2.466 0.000 Ge
2.466 0.000 0.000 Ge
0.000 0.000 0.000 W
2.466 2.466 2.466 Cl
```

***

20.
Below is a geometry-optimized Ge2WCl structure, with properties calculated at the PBE level.

Values from the calculation:
As for the crystal system: cubic. The raw formation energy is 1.005 eV/atom. The value obtained for the energy is -5.004 eV/atom. Its symmetry is Fm-3m (225).

Geometry as POSCAR:
```
Ge2WCl
1.0
6.570 0.000 0.000
0.000 6.570 0.000
0.000 0.000 6.570
Ge W Cl
8 4 4
Cartesian
1.643 1.643 1.643 Ge
1.643 1.643 4.928 Ge
1.643 4.928 1.643 Ge
1.643 4.928 4.928 Ge
4.928 1.643 1.643 Ge
4.928 1.643 4.928 Ge
4.928 4.928 1.643 Ge
4.928 4.928 4.928 Ge
0.000 0.000 0.000 W
0.000 3.285 3.285 W
3.285 0.000 3.285 W
3.285 3.285 0.000 W
0.000 0.000 3.285 Cl
0.000 3.285 0.000 Cl
3.285 0.000 0.000 Cl
3.285 3.285 3.285 Cl
```

***

21.
Below is a geometry-optimized GeW2Cl structure, with properties calculated at the PBE level.

Values from the calculation:
As for the crystal system: tetragonal. The raw formation energy is 1.256 eV/atom. The value obtained for the energy is -6.836 eV/atom. Its symmetry is I-42d (122).

Geometry as POSCAR:
```
GeW2Cl
1.0
7.104 0.000 0.000
0.000 7.104 0.000
0.000 0.000 5.394
Ge W Cl
4 8 4
Cartesian
0.000 0.000 0.000 Ge
0.000 3.552 1.348 Ge
3.552 0.000 4.045 Ge
3.552 3.552 2.697 Ge
1.270 1.776 3.371 W
1.776 4.822 4.720 W
1.776 5.835 2.023 W
2.283 1.776 0.674 W
4.822 5.328 0.674 W
5.328 1.270 2.023 W
5.328 2.283 4.720 W
5.835 5.328 3.371 W
0.000 0.000 2.697 Cl
0.000 3.552 4.045 Cl
3.552 0.000 1.348 Cl
3.552 3.552 0.000 Cl
```

***

22.
Below is a geometry-optimized GeW2Cl structure, with properties calculated at the PBE level.

Values from the calculation:
As for the crystal system: cubic. The raw formation energy is 0.876 eV/atom. The value obtained for the energy is -7.216 eV/atom. Its symmetry is Fm-3m (225).

Geometry as POSCAR:
```
GeW2Cl
1.0
6.251 0.000 0.000
0.000 6.251 0.000
0.000 0.000 6.251
Ge W Cl
4 8 4
Cartesian
0.000 0.000 0.000 Ge
0.000 3.125 3.125 Ge
3.125 0.000 3.125 Ge
3.125 3.125 0.000 Ge
1.563 1.563 1.563 W
1.563 1.563 4.688 W
1.563 4.688 1.563 W
1.563 4.688 4.688 W
4.688 1.563 1.563 W
4.688 1.563 4.688 W
4.688 4.688 1.563 W
4.688 4.688 4.688 W
0.000 0.000 3.125 Cl
0.000 3.125 0.000 Cl
3.125 0.000 0.000 Cl
3.125 3.125 3.125 Cl
```

***

23.
Below is a geometry-optimized Ge3WCl structure, with properties calculated at the PBE level.

Values from the calculation:
As for the crystal system: cubic. The raw formation energy is 1.507 eV/atom. The value obtained for the energy is -4.223 eV/atom. Its symmetry is Pm-3m (221).

Geometry as POSCAR:
```
Ge3WCl
1.0
4.761 0.000 0.000
0.000 4.761 0.000
0.000 0.000 4.761
Ge W Cl
3 1 1
Cartesian
0.000 0.000 2.380 Ge
0.000 2.380 0.000 Ge
2.380 0.000 0.000 Ge
2.380 2.380 2.380 W
0.000 0.000 0.000 Cl
```